No. 1
! ScZnRe3 PBE relaxed; values from VASP
! Energy of formation, eV/atom: 2.46
! Density of states at the Fermi level, states/eV per cell: 7.563
! E, eV for the cell shown: -32.665
&SYSTEM
  ibrav = 0, nat = 5, ntyp = 3
/
ATOMIC_SPECIES
Re 186.21 Re.upf
Zn 65.41 Zn.upf
Sc 44.96 Sc.upf
CELL_PARAMETERS angstrom
4.604 0.000 0.000
0.000 4.604 0.000
0.000 0.000 4.604
ATOMIC_POSITIONS crystal
Re 0.000 0.000 0.500
Re 0.500 0.000 0.000
Re 0.000 0.500 0.000
Zn 0.500 0.500 0.500
Sc 0.000 0.000 0.000

---

No. 2
! ScZnRe2 PBE relaxed; values from VASP
! Energy of formation, eV/atom: 0.23
! Density of states at the Fermi level, states/eV per cell: 3.614
! E, eV for the cell shown: -31.598
&SYSTEM
  ibrav = 0, nat = 4, ntyp = 3
/
ATOMIC_SPECIES
Sc 44.96 Sc.upf
Re 186.21 Re.upf
Zn 65.41 Zn.upf
CELL_PARAMETERS angstrom
3.321 0.000 0.000
0.000 3.321 0.000
0.000 0.000 5.959
ATOMIC_POSITIONS crystal
Sc 0.500 0.500 0.250
Re 0.000 0.000 0.547
Re 0.000 0.000 0.953
Zn 0.500 0.500 0.750

---

No. 3
! Sc2ZnRe PBE relaxed; values from VASP
! Energy of formation, eV/atom: 0.22
! Density of states at the Fermi level, states/eV per cell: 4.810
! E, eV for the cell shown: -25.489
&SYSTEM
  ibrav = 0, nat = 4, ntyp = 3
/
ATOMIC_SPECIES
Sc 44.96 Sc.upf
Zn 65.41 Zn.upf
Re 186.21 Re.upf
CELL_PARAMETERS angstrom
9.476 -0.097 -0.057
9.007 2.945 -0.057
9.007 1.388 2.598
ATOMIC_POSITIONS crystal
Sc 0.242 0.242 0.242
Sc 0.012 0.012 0.012
Zn 0.492 0.492 0.492
Re 0.753 0.753 0.753

---

No. 4
! ScZnRe3 PBE relaxed; values from VASP
! Energy of formation, eV/atom: 1.57
! Density of states at the Fermi level, states/eV per cell: 5.281
! E, eV for the cell shown: -37.084
&SYSTEM
  ibrav = 0, nat = 5, ntyp = 3
/
ATOMIC_SPECIES
Sc 44.96 Sc.upf
Re 186.21 Re.upf
Zn 65.41 Zn.upf
CELL_PARAMETERS angstrom
4.533 0.000 0.000
0.000 4.533 0.000
0.000 0.000 4.533
ATOMIC_POSITIONS crystal
Sc 0.500 0.500 0.500
Re 0.000 0.500 0.000
Re 0.500 0.000 0.000
Re 0.000 0.000 0.500
Zn 0.000 0.000 0.000

---

No. 5
! ScZnRe2 PBE relaxed; values from VASP
! Energy of formation, eV/atom: 0.27
! Density of states at the Fermi level, states/eV per cell: 4.279
! E, eV for the cell shown: -31.434
&SYSTEM
  ibrav = 0, nat = 4, ntyp = 3
/
ATOMIC_SPECIES
Re 186.21 Re.upf
Sc 44.96 Sc.upf
Zn 65.41 Zn.upf
CELL_PARAMETERS angstrom
-1.513 1.902 1.170
-1.807 -0.213 -1.991
-4.263 -6.177 4.529
ATOMIC_POSITIONS crystal
Re 0.000 0.000 0.986
Re 0.000 0.000 0.514
Sc 0.500 0.500 0.250
Zn 0.500 0.500 0.750

---

No. 6
! ScZnRe2 PBE relaxed; values from VASP
! Energy of formation, eV/atom: 0.00
! Density of states at the Fermi level, states/eV per cell: 3.289
! E, eV for the cell shown: -32.487
&SYSTEM
  ibrav = 0, nat = 4, ntyp = 3
/
ATOMIC_SPECIES
Re 186.21 Re.upf
Sc 44.96 Sc.upf
Zn 65.41 Zn.upf
CELL_PARAMETERS angstrom
4.371 0.000 0.000
0.000 2.879 -0.009
0.000 1.098 5.127
ATOMIC_POSITIONS crystal
Re 0.500 0.213 0.205
Re 0.000 0.903 0.035
Sc 0.000 0.485 0.527
Zn 0.500 0.899 0.733

---

No. 7
! ScZn2Re2 PBE relaxed; values from VASP
! Energy of formation, eV/atom: 0.07
! Density of states at the Fermi level, states/eV per cell: 2.131
! E, eV for the cell shown: -33.401
&SYSTEM
  ibrav = 0, nat = 5, ntyp = 3
/
ATOMIC_SPECIES
Re 186.21 Re.upf
Zn 65.41 Zn.upf
Sc 44.96 Sc.upf
CELL_PARAMETERS angstrom
-3.467 -0.155 1.293
-0.208 -3.564 -0.985
0.267 -3.488 5.603
ATOMIC_POSITIONS crystal
Re 0.750 0.250 0.500
Re 0.250 0.750 0.500
Zn 0.596 0.596 0.807
Zn 0.404 0.404 0.193
Sc 0.000 0.000 0.000

---

No. 8
! Sc2ZnRe PBE relaxed; values from VASP
! Energy of formation, eV/atom: 0.03
! Density of states at the Fermi level, states/eV per cell: 3.844
! E, eV for the cell shown: -26.248
&SYSTEM
  ibrav = 0, nat = 4, ntyp = 3
/
ATOMIC_SPECIES
Sc 44.96 Sc.upf
Re 186.21 Re.upf
Zn 65.41 Zn.upf
CELL_PARAMETERS angstrom
-6.915 5.327 0.613
-7.644 3.724 -2.065
-8.356 2.470 0.797
ATOMIC_POSITIONS crystal
Sc 0.006 0.006 0.006
Sc 0.494 0.494 0.494
Re 0.750 0.750 0.750
Zn 0.250 0.250 0.250

---

No. 9
! ScZn4Re PBE relaxed; values from VASP
! Energy of formation, eV/atom: -0.09
! Density of states at the Fermi level, states/eV per cell: 4.671
! E, eV for the cell shown: -24.427
&SYSTEM
  ibrav = 0, nat = 6, ntyp = 3
/
ATOMIC_SPECIES
Sc 44.96 Sc.upf
Zn 65.41 Zn.upf
Re 186.21 Re.upf
CELL_PARAMETERS angstrom
-1.237 -0.695 4.810
-4.787 -0.789 1.269
-1.461 -4.528 1.584
ATOMIC_POSITIONS crystal
Sc 0.000 0.000 0.000
Zn 0.624 0.127 0.624
Zn 0.127 0.624 0.624
Zn 0.624 0.624 0.624
Zn 0.624 0.624 0.127
Re 0.250 0.250 0.250

---

No. 10
! ScZnRe2 PBE relaxed; values from VASP
! Energy of formation, eV/atom: 0.28
! Density of states at the Fermi level, states/eV per cell: 3.932
! E, eV for the cell shown: -31.396
&SYSTEM
  ibrav = 0, nat = 4, ntyp = 3
/
ATOMIC_SPECIES
Re 186.21 Re.upf
Sc 44.96 Sc.upf
Zn 65.41 Zn.upf
CELL_PARAMETERS angstrom
5.178 -0.010 0.000
-2.263 4.658 0.000
0.000 0.000 2.656
ATOMIC_POSITIONS crystal
Re 0.000 0.000 0.000
Re 0.500 0.500 0.000
Sc 0.500 0.000 0.500
Zn 0.000 0.500 0.500

---

No. 11
! Sc2ZnRe PBE relaxed; values from VASP
! Energy of formation, eV/atom: 0.04
! Density of states at the Fermi level, states/eV per cell: 2.487
! E, eV for the cell shown: -26.229
&SYSTEM
  ibrav = 0, nat = 4, ntyp = 3
/
ATOMIC_SPECIES
Sc 44.96 Sc.upf
Zn 65.41 Zn.upf
Re 186.21 Re.upf
CELL_PARAMETERS angstrom
3.363 0.000 0.000
0.000 3.363 0.000
0.000 0.000 6.777
ATOMIC_POSITIONS crystal
Sc 0.500 0.500 0.314
Sc 0.000 0.000 0.944
Zn 0.000 0.000 0.532
Re 0.500 0.500 0.709

---

No. 12
! ScZnRe2 PBE relaxed; values from VASP
! Energy of formation, eV/atom: 0.10
! Density of states at the Fermi level, states/eV per cell: 2.001
! E, eV for the cell shown: -32.104
&SYSTEM
  ibrav = 0, nat = 4, ntyp = 3
/
ATOMIC_SPECIES
Re 186.21 Re.upf
Zn 65.41 Zn.upf
Sc 44.96 Sc.upf
CELL_PARAMETERS angstrom
-3.496 3.222 -7.982
-3.085 0.483 -8.750
-5.497 1.246 -7.385
ATOMIC_POSITIONS crystal
Re 0.997 0.997 0.997
Re 0.255 0.255 0.255
Zn 0.746 0.746 0.746
Sc 0.501 0.501 0.501

---

No. 13
! ScZnRe2 PBE relaxed; values from VASP
! Energy of formation, eV/atom: 0.14
! Density of states at the Fermi level, states/eV per cell: 3.556
! E, eV for the cell shown: -31.924
&SYSTEM
  ibrav = 0, nat = 4, ntyp = 3
/
ATOMIC_SPECIES
Re 186.21 Re.upf
Zn 65.41 Zn.upf
Sc 44.96 Sc.upf
CELL_PARAMETERS angstrom
2.764 -0.010 0.000
-0.925 2.605 0.000
0.000 0.000 9.021
ATOMIC_POSITIONS crystal
Re 0.000 0.000 0.007
Re 0.500 0.500 0.239
Zn 0.500 0.500 0.761
Sc 0.000 0.000 0.493

---

No. 14
! ScZnRe2 PBE relaxed; values from VASP
! Energy of formation, eV/atom: 0.71
! Density of states at the Fermi level, states/eV per cell: 7.177
! E, eV for the cell shown: -59.329
&SYSTEM
  ibrav = 0, nat = 8, ntyp = 3
/
ATOMIC_SPECIES
Re 186.21 Re.upf
Zn 65.41 Zn.upf
Sc 44.96 Sc.upf
CELL_PARAMETERS angstrom
7.392 0.000 0.000
0.000 7.392 0.000
3.696 3.696 2.547
ATOMIC_POSITIONS crystal
Re 0.875 0.911 0.750
Re 0.089 0.625 0.250
Re 0.661 0.125 0.250
Re 0.375 0.339 0.750
Zn 0.000 0.000 0.000
Zn 0.750 0.250 0.500
Sc 0.250 0.750 0.500
Sc 0.500 0.500 0.000

---

No. 15
! Sc2ZnRe PBE relaxed; values from VASP
! Energy of formation, eV/atom: -0.07
! Density of states at the Fermi level, states/eV per cell: 2.937
! E, eV for the cell shown: -26.675
&SYSTEM
  ibrav = 0, nat = 4, ntyp = 3
/
ATOMIC_SPECIES
Sc 44.96 Sc.upf
Re 186.21 Re.upf
Zn 65.41 Zn.upf
CELL_PARAMETERS angstrom
2.932 -0.004 0.000
-0.809 2.818 0.000
0.000 0.000 8.834
ATOMIC_POSITIONS crystal
Sc 0.000 0.000 0.515
Sc 0.000 0.000 0.985
Re 0.500 0.500 0.750
Zn 0.500 0.500 0.250

---

No. 16
! Sc2ZnRe PBE relaxed; values from VASP
! Energy of formation, eV/atom: -0.21
! Density of states at the Fermi level, states/eV per cell: 4.291
! E, eV for the cell shown: -27.210
&SYSTEM
  ibrav = 0, nat = 4, ntyp = 3
/
ATOMIC_SPECIES
Sc 44.96 Sc.upf
Re 186.21 Re.upf
Zn 65.41 Zn.upf
CELL_PARAMETERS angstrom
3.300 0.000 0.000
0.000 3.331 0.003
0.000 3.317 6.611
ATOMIC_POSITIONS crystal
Sc 0.000 0.019 0.982
Sc 0.000 0.481 0.518
Re 0.500 0.750 0.750
Zn 0.500 0.250 0.250

---

No. 17
! Sc2ZnRe PBE relaxed; values from VASP
! Energy of formation, eV/atom: 0.09
! Density of states at the Fermi level, states/eV per cell: 5.222
! E, eV for the cell shown: -26.006
&SYSTEM
  ibrav = 0, nat = 4, ntyp = 3
/
ATOMIC_SPECIES
Sc 44.96 Sc.upf
Re 186.21 Re.upf
Zn 65.41 Zn.upf
CELL_PARAMETERS angstrom
-3.529 -1.955 2.248
-2.611 -3.170 -2.112
0.251 -4.428 1.286
ATOMIC_POSITIONS crystal
Sc 0.250 0.250 0.250
Sc 0.000 0.000 0.000
Re 0.500 0.500 0.500
Zn 0.750 0.750 0.750

---

No. 18
! ScZnRe2 PBE relaxed; values from VASP
! Energy of formation, eV/atom: 0.30
! Density of states at the Fermi level, states/eV per cell: 5.304
! E, eV for the cell shown: -31.310
&SYSTEM
  ibrav = 0, nat = 4, ntyp = 3
/
ATOMIC_SPECIES
Re 186.21 Re.upf
Zn 65.41 Zn.upf
Sc 44.96 Sc.upf
CELL_PARAMETERS angstrom
9.500 0.016 0.009
9.079 2.796 0.009
9.079 1.374 2.435
ATOMIC_POSITIONS crystal
Re 0.496 0.496 0.496
Re 0.004 0.004 0.004
Zn 0.750 0.750 0.750
Sc 0.250 0.250 0.250

---

No. 19
! Sc2ZnRe PBE relaxed; values from VASP
! Energy of formation, eV/atom: 0.07
! Density of states at the Fermi level, states/eV per cell: 3.397
! E, eV for the cell shown: -26.111
&SYSTEM
  ibrav = 0, nat = 4, ntyp = 3
/
ATOMIC_SPECIES
Zn 65.41 Zn.upf
Re 186.21 Re.upf
Sc 44.96 Sc.upf
CELL_PARAMETERS angstrom
-2.167 -0.872 -1.640
2.758 -0.294 -3.486
1.148 -5.421 1.366
ATOMIC_POSITIONS crystal
Zn 0.000 0.000 0.494
Re 0.500 0.500 0.767
Sc 0.000 0.000 0.969
Sc 0.500 0.500 0.270

---

No. 20
! ScZnRe2 PBE relaxed; values from VASP
! Energy of formation, eV/atom: 0.08
! Density of states at the Fermi level, states/eV per cell: 3.068
! E, eV for the cell shown: -32.185
&SYSTEM
  ibrav = 0, nat = 4, ntyp = 3
/
ATOMIC_SPECIES
Zn 65.41 Zn.upf
Re 186.21 Re.upf
Sc 44.96 Sc.upf
CELL_PARAMETERS angstrom
5.237 0.003 0.054
4.214 3.110 0.054
1.881 0.620 4.031
ATOMIC_POSITIONS crystal
Zn 0.735 0.735 0.765
Re 0.271 0.271 0.229
Re 0.985 0.985 0.014
Sc 0.508 0.508 0.492

---

No. 21
! ScZnRe2 PBE relaxed; values from VASP
! Energy of formation, eV/atom: -0.04
! Density of states at the Fermi level, states/eV per cell: 2.782
! E, eV for the cell shown: -32.663
&SYSTEM
  ibrav = 0, nat = 4, ntyp = 3
/
ATOMIC_SPECIES
Re 186.21 Re.upf
Zn 65.41 Zn.upf
Sc 44.96 Sc.upf
CELL_PARAMETERS angstrom
-2.023 0.706 3.916
0.273 -4.356 0.936
3.679 2.294 -1.062
ATOMIC_POSITIONS crystal
Re 0.250 0.750 0.500
Re 0.000 0.000 0.000
Zn 0.750 0.250 0.500
Sc 0.500 0.500 0.000

---

No. 22
! ScZn2Re2 PBE relaxed; values from VASP
! Energy of formation, eV/atom: 0.25
! Density of states at the Fermi level, states/eV per cell: 5.294
! E, eV for the cell shown: -65.050
&SYSTEM
  ibrav = 0, nat = 10, ntyp = 3
/
ATOMIC_SPECIES
Zn 65.41 Zn.upf
Re 186.21 Re.upf
Sc 44.96 Sc.upf
CELL_PARAMETERS angstrom
-4.358 -4.837 1.676
1.363 -3.218 -5.743
2.515 -1.725 1.563
ATOMIC_POSITIONS crystal
Zn 0.374 0.874 0.000
Zn 0.874 0.626 0.000
Zn 0.126 0.374 0.000
Zn 0.626 0.126 0.000
Re 0.172 0.672 0.500
Re 0.672 0.828 0.500
Re 0.828 0.328 0.500
Re 0.328 0.172 0.500
Sc 0.000 0.000 0.000
Sc 0.500 0.500 0.000

---

No. 23
! ScZnRe2 PBE relaxed; values from VASP
! Energy of formation, eV/atom: 0.10
! Density of states at the Fermi level, states/eV per cell: 3.082
! E, eV for the cell shown: -32.095
&SYSTEM
  ibrav = 0, nat = 4, ntyp = 3
/
ATOMIC_SPECIES
Zn 65.41 Zn.upf
Sc 44.96 Sc.upf
Re 186.21 Re.upf
CELL_PARAMETERS angstrom
-0.153 5.277 0.195
-4.726 2.357 0.108
3.113 -3.490 2.457
ATOMIC_POSITIONS crystal
Zn 0.750 0.250 0.500
Sc 0.250 0.750 0.500
Re 0.503 0.503 0.000
Re 0.997 0.997 0.000

---

No. 24
! Sc2ZnRe PBE relaxed; values from VASP
! Energy of formation, eV/atom: 0.60
! Density of states at the Fermi level, states/eV per cell: 15.237
! E, eV for the cell shown: -48.003
&SYSTEM
  ibrav = 0, nat = 8, ntyp = 3
/
ATOMIC_SPECIES
Zn 65.41 Zn.upf
Sc 44.96 Sc.upf
Re 186.21 Re.upf
CELL_PARAMETERS angstrom
3.944 0.000 0.000
0.000 3.944 0.000
1.972 1.972 9.662
ATOMIC_POSITIONS crystal
Zn 0.500 0.500 0.000
Zn 0.250 0.750 0.500
Sc 0.875 0.885 0.750
Sc 0.635 0.125 0.250
Sc 0.375 0.365 0.750
Sc 0.115 0.625 0.250
Re 0.750 0.250 0.500
Re 0.000 0.000 0.000

---

No. 25
! ScZnRe2 PBE relaxed; values from VASP
! Energy of formation, eV/atom: 0.12
! Density of states at the Fermi level, states/eV per cell: 3.757
! E, eV for the cell shown: -32.031
&SYSTEM
  ibrav = 0, nat = 4, ntyp = 3
/
ATOMIC_SPECIES
Sc 44.96 Sc.upf
Zn 65.41 Zn.upf
Re 186.21 Re.upf
CELL_PARAMETERS angstrom
-1.218 -2.410 -3.777
1.211 -2.258 1.050
-4.065 -1.698 2.394
ATOMIC_POSITIONS crystal
Sc 0.500 0.250 0.250
Zn 0.500 0.750 0.750
Re 0.000 0.941 0.006
Re 0.000 0.559 0.494

---

No. 26
! Sc2ZnRe PBE relaxed; values from VASP
! Energy of formation, eV/atom: 0.12
! Density of states at the Fermi level, states/eV per cell: 3.619
! E, eV for the cell shown: -25.905
&SYSTEM
  ibrav = 0, nat = 4, ntyp = 3
/
ATOMIC_SPECIES
Re 186.21 Re.upf
Zn 65.41 Zn.upf
Sc 44.96 Sc.upf
CELL_PARAMETERS angstrom
-0.648 -3.965 2.594
1.825 -4.269 1.148
2.824 1.701 4.473
ATOMIC_POSITIONS crystal
Re 0.250 0.250 0.250
Zn 0.750 0.750 0.750
Sc 0.001 0.001 0.007
Sc 0.499 0.499 0.493

---

No. 27
! Sc2ZnRe PBE relaxed; values from VASP
! Energy of formation, eV/atom: 0.39
! Density of states at the Fermi level, states/eV per cell: 3.902
! E, eV for the cell shown: -24.829
&SYSTEM
  ibrav = 0, nat = 4, ntyp = 3
/
ATOMIC_SPECIES
Re 186.21 Re.upf
Sc 44.96 Sc.upf
Zn 65.41 Zn.upf
CELL_PARAMETERS angstrom
1.686 0.000 10.099
-0.843 1.460 10.099
-0.843 -1.460 10.099
ATOMIC_POSITIONS crystal
Re 0.000 0.000 0.000
Sc 0.087 0.087 0.087
Sc 0.913 0.913 0.913
Zn 0.500 0.500 0.500

---

No. 28
! Sc2ZnRe PBE relaxed; values from VASP
! Energy of formation, eV/atom: -0.15
! Density of states at the Fermi level, states/eV per cell: 3.732
! E, eV for the cell shown: -26.974
&SYSTEM
  ibrav = 0, nat = 4, ntyp = 3
/
ATOMIC_SPECIES
Re 186.21 Re.upf
Sc 44.96 Sc.upf
Zn 65.41 Zn.upf
CELL_PARAMETERS angstrom
4.560 0.000 0.000
0.000 3.415 -0.007
0.000 0.009 4.560
ATOMIC_POSITIONS crystal
Re 0.500 0.625 0.875
Sc 0.000 0.125 0.875
Sc 0.500 0.125 0.375
Zn 0.000 0.625 0.375

---

No. 29
! ScZnRe2 PBE relaxed; values from VASP
! Energy of formation, eV/atom: 0.17
! Density of states at the Fermi level, states/eV per cell: 3.479
! E, eV for the cell shown: -31.841
&SYSTEM
  ibrav = 0, nat = 4, ntyp = 3
/
ATOMIC_SPECIES
Re 186.21 Re.upf
Sc 44.96 Sc.upf
Zn 65.41 Zn.upf
CELL_PARAMETERS angstrom
-2.645 0.512 0.387
0.791 -1.813 1.869
2.111 6.687 5.593
ATOMIC_POSITIONS crystal
Re 0.000 0.000 0.510
Re 0.000 0.000 0.990
Sc 0.500 0.500 0.250
Zn 0.500 0.500 0.750

---

No. 30
! ScZnRe2 PBE relaxed; values from VASP
! Energy of formation, eV/atom: 0.10
! Density of states at the Fermi level, states/eV per cell: 2.849
! E, eV for the cell shown: -32.120
&SYSTEM
  ibrav = 0, nat = 4, ntyp = 3
/
ATOMIC_SPECIES
Zn 65.41 Zn.upf
Re 186.21 Re.upf
Sc 44.96 Sc.upf
CELL_PARAMETERS angstrom
-2.043 -3.864 3.027
2.409 -1.358 -4.541
2.277 -1.167 0.953
ATOMIC_POSITIONS crystal
Zn 0.000 0.500 0.500
Re 0.500 0.500 0.000
Re 0.000 0.000 0.000
Sc 0.500 0.000 0.500